{
  "formula": "HoZn2Au2",
  "functional": "PBE-GGA",
  "state": "optimized geometry",
  "cell": [[3.831, 0.000, 0.000], [0.000, 3.831, 0.000], [0.000, 0.000, 6.684]],
  "species": ["Ho", "Zn", "Zn", "Au", "Au"],
  "fractional_positions": [[0.000, 0.000, 0.000], [0.000, 0.500, 0.500], [0.500, 0.000, 0.500], [0.500, 0.500, 0.211], [0.500, 0.500, 0.789]],
  "final_energy_ry_per_atom": -0.238,
  "ef_ev_per_atom": -0.505,
  "relative_energy_ev_per_atom": 0.030,
  "space_group": "P4/mmm"
}

---

{
  "formula": "HoZn3Au",
  "functional": "PBE-GGA",
  "state": "optimized geometry",
  "cell": [[3.879, -3.102, 0.000], [3.879, 3.102, 0.000], [-2.756, 0.000, 3.784]],
  "species": ["Ho", "Zn", "Zn", "Zn", "Au"],
  "fractional_positions": [[0.000, 0.000, 0.000], [0.297, 0.691, 0.494], [0.691, 0.297, 0.494], [0.703, 0.703, 0.209], [0.300, 0.300, 0.796]],
  "final_energy_ry_per_atom": -0.201,
  "ef_ev_per_atom": -0.395,
  "relative_energy_ev_per_atom": 0.030,
  "space_group": "Cm"
}

---

{
  "formula": "HoZn3Au",
  "functional": "PBE-GGA",
  "state": "optimized geometry",
  "cell": [[5.577, 0.000, 0.000], [0.000, 5.327, 0.000], [-0.109, 0.000, 6.167]],
  "species": ["Ho", "Ho", "Zn", "Zn", "Zn", "Zn", "Zn", "Zn", "Au", "Au"],
  "fractional_positions": [[0.154, 0.250, 0.164], [0.846, 0.750, 0.836], [0.063, 0.750, 0.389], [0.349, 0.005, 0.662], [0.349, 0.495, 0.662], [0.651, 0.505, 0.338], [0.651, 0.995, 0.338], [0.937, 0.250, 0.611], [0.347, 0.750, 0.043], [0.653, 0.250, 0.957]],
  "final_energy_ry_per_atom": -0.203,
  "ef_ev_per_atom": -0.425,
  "relative_energy_ev_per_atom": 0.000,
  "space_group": "P2_1/m"
}

---

{
  "formula": "HoZn2Au8",
  "functional": "PBE-GGA",
  "state": "optimized geometry",
  "cell": [[7.331, -2.109, 0.000], [7.331, 2.109, 0.000], [-2.382, 0.000, 6.455]],
  "species": ["Ho", "Zn", "Zn", "Au", "Au", "Au", "Au", "Au", "Au", "Au", "Au"],
  "fractional_positions": [[0.000, 0.000, 0.000], [0.278, 0.278, 0.341], [0.722, 0.722, 0.659], [0.107, 0.107, 0.467], [0.182, 0.182, 0.918], [0.351, 0.351, 0.779], [0.456, 0.456, 0.274], [0.544, 0.544, 0.726], [0.649, 0.649, 0.221], [0.818, 0.818, 0.082], [0.893, 0.893, 0.533]],
  "final_energy_ry_per_atom": -0.248,
  "ef_ev_per_atom": -0.339,
  "relative_energy_ev_per_atom": 0.000,
  "space_group": "C2/m"
}

---

{
  "formula": "HoZn2Au8",
  "functional": "PBE-GGA",
  "state": "optimized geometry",
  "cell": [[3.997, -6.290, 0.000], [3.997, 6.290, 0.000], [-2.009, 0.000, 4.182]],
  "species": ["Ho", "Zn", "Zn", "Au", "Au", "Au", "Au", "Au", "Au", "Au", "Au"],
  "fractional_positions": [[0.000, 0.000, 0.000], [0.319, 0.681, 0.500], [0.681, 0.319, 0.500], [0.073, 0.324, 0.621], [0.230, 0.770, 0.000], [0.324, 0.073, 0.621], [0.393, 0.393, 0.172], [0.607, 0.607, 0.828], [0.676, 0.927, 0.379], [0.770, 0.230, 0.000], [0.927, 0.676, 0.379]],
  "final_energy_ry_per_atom": -0.244,
  "ef_ev_per_atom": -0.288,
  "relative_energy_ev_per_atom": 0.050,
  "space_group": "C2/m"
}

---

{
  "formula": "Ho2Zn5Au",
  "functional": "PBE-GGA",
  "state": "optimized geometry",
  "cell": [[2.115, -8.077, 0.000], [2.115, 8.077, 0.000], [0.000, 0.000, 8.964]],
  "species": ["Ho", "Ho", "Ho", "Ho", "Zn", "Zn", "Zn", "Zn", "Zn", "Zn", "Zn", "Zn", "Zn", "Zn", "Au", "Au"],
  "fractional_positions": [[0.000, 0.000, 0.000], [0.000, 0.000, 0.500], [0.193, 0.807, 0.750], [0.807, 0.193, 0.250], [0.191, 0.809, 0.107], [0.191, 0.809, 0.393], [0.350, 0.650, 0.022], [0.350, 0.650, 0.478], [0.391, 0.609, 0.750], [0.609, 0.391, 0.250], [0.650, 0.350, 0.522], [0.650, 0.350, 0.978], [0.809, 0.191, 0.607], [0.809, 0.191, 0.893], [0.451, 0.549, 0.250], [0.549, 0.451, 0.750]],
  "final_energy_ry_per_atom": -0.204,
  "ef_ev_per_atom": -0.426,
  "space_group": "Cmcm"
}

---

{
  "formula": "Ho6ZnAu5",
  "functional": "PBE-GGA",
  "state": "optimized geometry",
  "cell": [[2.538, -7.641, 0.000], [2.538, 7.641, 0.000], [0.000, 0.000, 7.100]],
  "species": ["Ho", "Ho", "Ho", "Ho", "Ho", "Ho", "Zn", "Au", "Au", "Au", "Au", "Au"],
  "fractional_positions": [[0.000, 0.000, 0.246], [0.000, 0.000, 0.754], [0.332, 0.668, 0.251], [0.332, 0.668, 0.749], [0.668, 0.332, 0.251], [0.668, 0.332, 0.749], [0.500, 0.500, 0.500], [0.157, 0.843, 0.500], [0.169, 0.831, 0.000], [0.500, 0.500, 0.000], [0.831, 0.169, 0.000], [0.843, 0.157, 0.500]],
  "final_energy_ry_per_atom": -0.334,
  "ef_ev_per_atom": -0.788,
  "space_group": "Cmmm"
}

---

{
  "formula": "Ho3Zn7Au4",
  "functional": "PBE-GGA",
  "state": "optimized geometry",
  "cell": [[7.900, -2.208, 0.000], [7.900, 2.208, 0.000], [-5.129, 0.000, 7.569]],
  "species": ["Ho", "Ho", "Ho", "Zn", "Zn", "Zn", "Zn", "Zn", "Zn", "Zn", "Au", "Au", "Au", "Au"],
  "fractional_positions": [[0.000, 0.000, 0.000], [0.294, 0.294, 0.291], [0.706, 0.706, 0.709], [0.000, 0.000, 0.500], [0.139, 0.139, 0.427], [0.333, 0.333, 0.983], [0.499, 0.499, 0.674], [0.501, 0.501, 0.326], [0.667, 0.667, 0.017], [0.861, 0.861, 0.573], [0.126, 0.126, 0.843], [0.344, 0.344, 0.712], [0.656, 0.656, 0.288], [0.874, 0.874, 0.157]],
  "final_energy_ry_per_atom": -0.225,
  "ef_ev_per_atom": -0.510,
  "space_group": "C2/m"
}

---

{
  "formula": "HoZn2Au",
  "functional": "PBE-GGA",
  "state": "optimized geometry",
  "cell": [[4.199, 0.000, 0.000], [0.000, 4.199, 0.000], [0.000, 0.000, 4.474]],
  "species": ["Ho", "Zn", "Zn", "Au"],
  "fractional_positions": [[0.000, 0.000, 0.000], [0.000, 0.500, 0.500], [0.500, 0.000, 0.500], [0.500, 0.500, 0.000]],
  "final_energy_ry_per_atom": -0.219,
  "ef_ev_per_atom": -0.385,
  "space_group": "P4/mmm"
}

---

{
  "formula": "HoZn3Au3",
  "functional": "PBE-GGA",
  "state": "optimized geometry",
  "cell": [[3.511, 2.027, 6.220], [-3.511, 2.027, 6.220], [0.000, -4.054, 6.220]],
  "species": ["Ho", "Ho", "Zn", "Zn", "Zn", "Zn", "Zn", "Zn", "Au", "Au", "Au", "Au", "Au", "Au"],
  "fractional_positions": [[0.162, 0.162, 0.162], [0.838, 0.838, 0.838], [0.045, 0.228, 0.603], [0.228, 0.603, 0.045], [0.397, 0.955, 0.772], [0.603, 0.045, 0.228], [0.772, 0.397, 0.955], [0.955, 0.772, 0.397], [0.192, 0.428, 0.678], [0.322, 0.808, 0.572], [0.428, 0.678, 0.192], [0.572, 0.322, 0.808], [0.678, 0.192, 0.428], [0.808, 0.572, 0.322]],
  "final_energy_ry_per_atom": -0.221,
  "ef_ev_per_atom": -0.401,
  "relative_energy_ev_per_atom": 0.000,
  "space_group": "R-3"
}

---

{
  "formula": "Ho4Zn2Au",
  "functional": "PBE-GGA",
  "state": "optimized geometry",
  "cell": [[2.500, 1.443, 8.089], [-2.500, 1.443, 8.089], [0.000, -2.887, 8.089]],
  "species": ["Ho", "Ho", "Ho", "Ho", "Zn", "Zn", "Au"],
  "fractional_positions": [[0.122, 0.122, 0.122], [0.373, 0.373, 0.373], [0.627, 0.627, 0.627], [0.878, 0.878, 0.878], [0.252, 0.252, 0.252], [0.748, 0.748, 0.748], [0.500, 0.500, 0.500]],
  "final_energy_ry_per_atom": -0.278,
  "ef_ev_per_atom": -0.334,
  "space_group": "R-3m"
}

---

{
  "formula": "Ho7Zn2Au2",
  "functional": "PBE-GGA",
  "state": "optimized geometry",
  "cell": [[3.710, -5.337, 0.000], [3.710, 5.337, 0.000], [0.000, 0.000, 7.558]],
  "species": ["Ho", "Ho", "Ho", "Ho", "Ho", "Ho", "Ho", "Zn", "Zn", "Au", "Au"],
  "fractional_positions": [[0.000, 0.000, 0.000], [0.000, 0.500, 0.283], [0.000, 0.500, 0.717], [0.500, 0.000, 0.283], [0.500, 0.000, 0.717], [0.500, 0.500, 0.262], [0.500, 0.500, 0.738], [0.293, 0.707, 0.000], [0.707, 0.293, 0.000], [0.190, 0.190, 0.500], [0.810, 0.810, 0.500]],
  "final_energy_ry_per_atom": -0.287,
  "ef_ev_per_atom": -0.168,
  "space_group": "Cmmm"
}

---

{
  "formula": "Ho2ZnAu8",
  "functional": "PBE-GGA",
  "state": "optimized geometry",
  "cell": [[-2.467, 3.306, 6.669], [2.467, -3.306, 6.669], [2.467, 3.306, -6.669]],
  "species": ["Ho", "Ho", "Zn", "Au", "Au", "Au", "Au", "Au", "Au", "Au", "Au"],
  "fractional_positions": [[0.200, 0.200, 0.000], [0.800, 0.800, 0.000], [0.500, 0.500, 0.000], [0.087, 0.373, 0.715], [0.230, 0.000, 0.230], [0.327, 0.827, 0.500], [0.342, 0.627, 0.715], [0.658, 0.373, 0.285], [0.673, 0.173, 0.500], [0.770, 0.000, 0.770], [0.913, 0.627, 0.285]],
  "final_energy_ry_per_atom": -0.283,
  "ef_ev_per_atom": -0.521,
  "space_group": "Immm"
}

---

{
  "formula": "Ho3Zn3Au2",
  "functional": "PBE-GGA",
  "state": "optimized geometry",
  "cell": [[7.263, 0.000, 0.000], [-3.632, 6.290, 0.000], [0.000, 0.000, 3.854]],
  "species": ["Ho", "Ho", "Ho", "Zn", "Zn", "Zn", "Au", "Au"],
  "fractional_positions": [[0.000, 0.396, 0.000], [0.396, 0.000, 0.000], [0.604, 0.604, 0.000], [0.000, 0.778, 0.500], [0.222, 0.222, 0.500], [0.778, 0.000, 0.500], [0.333, 0.667, 0.500], [0.667, 0.333, 0.500]],
  "final_energy_ry_per_atom": -0.261,
  "ef_ev_per_atom": -0.536,
  "space_group": "P-62m"
}

---

{
  "formula": "HoZn3Au3",
  "functional": "PBE-GGA",
  "state": "optimized geometry",
  "cell": [[0.000, 6.118, 6.118], [6.118, 0.000, 6.118], [6.118, 6.118, 0.000]],
  "species": ["Ho", "Ho", "Zn", "Zn", "Zn", "Zn", "Zn", "Zn", "Au", "Au", "Au", "Au", "Au", "Au"],
  "fractional_positions": [[0.250, 0.250, 0.250], [0.750, 0.750, 0.750], [0.147, 0.147, 0.853], [0.147, 0.853, 0.147], [0.147, 0.853, 0.853], [0.853, 0.147, 0.147], [0.853, 0.147, 0.853], [0.853, 0.853, 0.147], [0.339, 0.339, 0.661], [0.339, 0.661, 0.339], [0.339, 0.661, 0.661], [0.661, 0.339, 0.339], [0.661, 0.339, 0.661], [0.661, 0.661, 0.339]],
  "final_energy_ry_per_atom": -0.144,
  "ef_ev_per_atom": 0.652,
  "relative_energy_ev_per_atom": 1.053,
  "space_group": "Fm-3m"
}

---

{
  "formula": "Ho11Zn9Au4",
  "functional": "PBE-GGA",
  "state": "optimized geometry",
  "cell": [[7.063, -10.545, 0.000], [7.063, 10.545, 0.000], [0.000, 0.000, 3.624]],
  "species": ["Ho", "Ho", "Ho", "Ho", "Ho", "Ho", "Ho", "Ho", "Ho", "Ho", "Ho", "Zn", "Zn", "Zn", "Zn", "Zn", "Zn", "Zn", "Zn", "Zn", "Au", "Au", "Au", "Au"],
  "fractional_positions": [[0.000, 0.000, 0.000], [0.071, 0.413, 0.000], [0.170, 0.830, 0.000], [0.260, 0.260, 0.000], [0.351, 0.649, 0.000], [0.413, 0.071, 0.000], [0.587, 0.929, 0.000], [0.649, 0.351, 0.000], [0.740, 0.740, 0.000], [0.830, 0.170, 0.000], [0.929, 0.587, 0.000], [0.043, 0.205, 0.500], [0.144, 0.630, 0.500], [0.205, 0.043, 0.500], [0.370, 0.856, 0.500], [0.500, 0.500, 0.500], [0.630, 0.144, 0.500], [0.795, 0.957, 0.500], [0.856, 0.370, 0.500], [0.957, 0.795, 0.500], [0.263, 0.447, 0.500], [0.447, 0.263, 0.500], [0.553, 0.737, 0.500], [0.737, 0.553, 0.500]],
  "final_energy_ry_per_atom": -0.266,
  "ef_ev_per_atom": -0.495,
  "space_group": "Cmmm"
}

---

{
  "formula": "Ho3ZnAu",
  "functional": "PBE-GGA",
  "state": "optimized geometry",
  "cell": [[2.526, -9.636, 0.000], [2.526, 9.636, 0.000], [0.000, 0.000, 5.052]],
  "species": ["Ho", "Ho", "Ho", "Ho", "Ho", "Ho", "Zn", "Zn", "Au", "Au"],
  "fractional_positions": [[0.065, 0.935, 0.750], [0.249, 0.751, 0.750], [0.432, 0.568, 0.750], [0.568, 0.432, 0.250], [0.751, 0.249, 0.250], [0.935, 0.065, 0.250], [0.155, 0.845, 0.250], [0.845, 0.155, 0.750], [0.339, 0.661, 0.250], [0.661, 0.339, 0.750]],
  "final_energy_ry_per_atom": -0.303,
  "ef_ev_per_atom": -0.466,
  "space_group": "Cmcm"
}

---

{
  "formula": "Ho8Zn2Au",
  "functional": "PBE-GGA",
  "state": "optimized geometry",
  "cell": [[8.840, -2.526, 0.000], [8.840, 2.526, 0.000], [-1.861, 0.000, 6.592]],
  "species": ["Ho", "Ho", "Ho", "Ho", "Ho", "Ho", "Ho", "Ho", "Zn", "Zn", "Au"],
  "fractional_positions": [[0.027, 0.027, 0.274], [0.202, 0.202, 0.823], [0.334, 0.334, 0.528], [0.408, 0.408, 0.044], [0.592, 0.592, 0.956], [0.666, 0.666, 0.472], [0.798, 0.798, 0.177], [0.973, 0.973, 0.726], [0.186, 0.186, 0.224], [0.814, 0.814, 0.776], [0.500, 0.500, 0.500]],
  "final_energy_ry_per_atom": -0.301,
  "ef_ev_per_atom": -0.240,
  "space_group": "C2/m"
}

---

{
  "formula": "Ho2Zn16Au",
  "functional": "PBE-GGA",
  "state": "optimized geometry",
  "cell": [[4.490, 2.592, 4.396], [-4.490, 2.592, 4.396], [0.000, -5.185, 4.396]],
  "species": ["Ho", "Ho", "Zn", "Zn", "Zn", "Zn", "Zn", "Zn", "Zn", "Zn", "Zn", "Zn", "Zn", "Zn", "Zn", "Zn", "Zn", "Zn", "Au"],
  "fractional_positions": [[0.000, 0.000, 0.000], [0.328, 0.328, 0.328], [0.017, 0.017, 0.501], [0.017, 0.501, 0.017], [0.168, 0.662, 0.662], [0.310, 0.310, 0.827], [0.310, 0.827, 0.310], [0.366, 0.664, 0.962], [0.366, 0.962, 0.664], [0.501, 0.017, 0.017], [0.561, 0.561, 0.561], [0.662, 0.168, 0.662], [0.662, 0.662, 0.168], [0.664, 0.366, 0.962], [0.664, 0.962, 0.366], [0.827, 0.310, 0.310], [0.962, 0.366, 0.664], [0.962, 0.664, 0.366], [0.767, 0.767, 0.767]],
  "final_energy_ry_per_atom": -0.146,
  "ef_ev_per_atom": -0.253,
  "space_group": "R3m"
}

---

{
  "formula": "Ho3Zn2Au",
  "functional": "PBE-GGA",
  "state": "optimized geometry",
  "cell": [[5.045, 0.000, 0.000], [-2.522, 4.369, 0.000], [0.000, 0.000, 6.166]],
  "species": ["Ho", "Ho", "Ho", "Zn", "Zn", "Au"],
  "fractional_positions": [[0.000, 0.000, 0.000], [0.333, 0.667, 0.664], [0.667, 0.333, 0.336], [0.333, 0.667, 0.151], [0.667, 0.333, 0.849], [0.000, 0.000, 0.500]],
  "final_energy_ry_per_atom": -0.278,
  "ef_ev_per_atom": -0.523,
  "relative_energy_ev_per_atom": 0.007,
  "space_group": "P-3m1"
}